No. 1
Crystalline LiOsPb2N6 at its relaxed geometry, computed with GGA-PBE.

## Properties
Electronic total energy (eV/atom): -5.9819

Unit cell a=5.548 b=5.548 c=5.548 alpha=117.28 beta=117.28 gamma=94.79
Each line ends with the local moment (μB).
Fractional positions:
Li  0.500  0.500  0.000  0.00
N  0.243  0.243  0.000  0.02
N  0.757  0.757  0.000  0.02
N  0.320  0.847  0.167  0.22
N  0.153  0.320  0.472  0.22
N  0.847  0.680  0.528  0.22
N  0.680  0.153  0.833  0.22
Os  0.000  0.000  0.000  -0.12
Pb  0.750  0.250  0.500  -0.01
Pb  0.250  0.750  0.500  -0.01



No. 2
Crystalline Nd2TlCoNi at its relaxed geometry, computed with GGA-PBE.

## Properties
Electronic total energy (eV/atom): -5.1959

Unit cell a=3.884 b=7.566 c=7.566 alpha=30.18 beta=90.00 gamma=90.00
Each line ends with the local moment (μB).
Fractional positions:
Co  0.000  0.794  0.794  0.66
Nd  0.500  0.363  0.363  -0.06
Nd  0.500  0.639  0.639  -0.04
Ni  0.000  0.205  0.205  0.16
Tl  0.000  0.999  0.999  -0.01



No. 3
Crystalline SrAgB at its relaxed geometry, computed with GGA-PBE.

## Properties
Electronic total energy (eV/atom): -2.4632
ΔE to the lowest computed polymorph (meV per atom): 585

Unit cell a=4.869 b=4.869 c=4.869 alpha=60.00 beta=60.00 gamma=60.00
Fractional positions:
Ag  0.250  0.250  0.250
B  0.750  0.750  0.750
Sr  0.000  0.000  0.000



No. 4
Crystalline ErHfInC at its relaxed geometry, computed with GGA-PBE.

## Properties
Electronic total energy (eV/atom): -7.1507
ΔE to the lowest computed polymorph (meV per atom): 29

Unit cell a=3.432 b=3.432 c=15.543 alpha=90.00 beta=90.00 gamma=120.00
Fractional positions:
C  0.000  0.000  0.000
C  0.000  0.000  0.500
Er  0.667  0.333  0.413
Er  0.333  0.667  0.587
Hf  0.667  0.333  0.077
Hf  0.333  0.667  0.923
In  0.333  0.667  0.239
In  0.667  0.333  0.761



No. 5
Crystalline HfCdPd at its relaxed geometry, computed with GGA-PBE.

## Properties
Electronic total energy (eV/atom): -5.5388
E_form (meV/atom): -197

Unit cell a=4.510 b=4.510 c=4.510 alpha=60.00 beta=60.00 gamma=60.00
Fractional positions:
Cd  0.250  0.250  0.250
Hf  0.750  0.750  0.750
Pd  0.000  0.000  0.000



No. 6
Crystalline NaSiPd at its relaxed geometry, computed with GGA-PBE.

## Properties
Electronic total energy (eV/atom): -3.3154

Unit cell a=4.359 b=4.359 c=4.359 alpha=60.00 beta=60.00 gamma=60.00
Fractional positions:
Na  0.000  0.000  0.000
Pd  0.250  0.250  0.250
Si  0.750  0.750  0.750



No. 7
Crystalline Y4CoSiC2 at its relaxed geometry, computed with GGA-PBE.

## Properties
Electronic total energy (eV/atom): -7.2313

Unit cell a=3.584 b=3.584 c=14.290 alpha=90.00 beta=90.00 gamma=120.00
Fractional positions:
C  0.333  0.667  0.243
C  0.333  0.667  0.757
Co  0.000  0.000  0.000
Si  0.667  0.333  0.500
Y  0.667  0.333  0.147
Y  0.000  0.000  0.338
Y  0.000  0.000  0.662
Y  0.667  0.333  0.853



No. 8
Crystalline Cu5Ag4 at its relaxed geometry, computed with GGA-PBE.

## Properties
Electronic total energy (eV/atom): -3.2256
ΔE to the lowest computed polymorph (meV per atom): 54
E_form (meV/atom): 95

Unit cell a=7.069 b=7.069 c=7.777 alpha=119.45 beta=119.45 gamma=23.07
Fractional positions:
Ag  0.668  0.668  0.021
Ag  0.556  0.556  0.307
Ag  0.101  0.101  0.662
Ag  0.781  0.781  0.676
Cu  0.340  0.340  0.019
Cu  0.888  0.888  0.335
Cu  0.239  0.239  0.352
Cu  0.439  0.439  0.657
Cu  0.988  0.988  0.971



No. 9
Crystalline In2Mo3Ir2 at its relaxed geometry, computed with GGA-PBE.

## Properties
Electronic total energy (eV/atom): -7.8702

Unit cell a=7.218 b=7.218 c=7.218 alpha=36.21 beta=36.21 gamma=36.21
Fractional positions:
In  0.195  0.195  0.195
In  0.767  0.767  0.767
Ir  0.044  0.044  0.044
Ir  0.486  0.486  0.486
Mo  0.339  0.339  0.339
Mo  0.626  0.626  0.626
Mo  0.918  0.918  0.918



No. 10
Crystalline AsOsW at its relaxed geometry, computed with GGA-PBE.

## Properties
Electronic total energy (eV/atom): -9.1379
ΔE to the lowest computed polymorph (meV per atom): 0

Unit cell a=4.237 b=4.237 c=4.237 alpha=60.00 beta=60.00 gamma=60.00
Fractional positions:
As  0.250  0.250  0.250
Os  0.750  0.750  0.750
W  0.000  0.000  0.000



No. 11
Crystalline YCuAsPt at its relaxed geometry, computed with GGA-PBE.

## Properties
Electronic total energy (eV/atom): -5.7512
ΔE to the lowest computed polymorph (meV per atom): 0

Unit cell a=4.702 b=4.702 c=4.702 alpha=60.00 beta=60.00 gamma=60.00
Fractional positions:
As  0.000  0.000  0.000
Cu  0.750  0.750  0.750
Pt  0.500  0.500  0.500
Y  0.250  0.250  0.250



No. 12
Crystalline SmDyAgSe3 at its relaxed geometry, computed with GGA-PBE.

## Properties
Electronic total energy (eV/atom): -5.1878

Unit cell a=7.811 b=4.054 c=9.582 alpha=90.00 beta=105.99 gamma=90.00
Fractional positions:
Ag  0.609  0.250  0.074
Ag  0.391  0.750  0.926
Dy  0.806  0.750  0.323
Dy  0.194  0.250  0.677
Se  0.849  0.750  0.037
Se  0.549  0.250  0.338
Se  0.083  0.250  0.361
Se  0.917  0.750  0.639
Se  0.451  0.750  0.662
Se  0.151  0.250  0.963
Sm  0.258  0.750  0.208
Sm  0.742  0.250  0.792